Here is a geometry-optimized Li3Ca2Ag12Sn structure from Alexandria via LeMat-Bulk. Energies are from PBE-GGA.

Results
The raw total energy is -2.6637 eV/atom. The calculated formation energy is 0.02 eV/f.u. Its total magnetic moment is 0.0 μB per cell.

Cell lengths 6.6318, 6.6318, 30.9290 Å; angles 90.00, 90.00, 120.00 degrees
Space group R-3m (No. 166, hexagonal axes)
Symmetry-distinct sites (fractional):
Li (0.0000, 0.5000, 0.0000) [9 per cell]
Ca (0.0000, 0.0000, 0.1384) [6 per cell]
Ag (0.0309, 0.5154, 0.8947) [18 per cell]
Ag (0.0584, 0.5292, 0.6230) [18 per cell]
Sn (0.0000, 0.0000, 0.5000) [3 per cell]